Here is an optimized crystal structure of Ca2PtCl2 from Alexandria via LeMat-Bulk. Energies are from PBE.

```
Ca2PtCl2
1.0
2.963 3.355 3.977
-4.279 2.517 3.348
0.787 -5.777 -1.362
Ca Pt Cl
2 1 2
direct
0.250 0.750 0.500 Ca
0.750 0.250 0.500 Ca
0.000 0.000 0.000 Pt
0.657 0.657 0.000 Cl
0.343 0.343 0.000 Cl
```

Volume   126.9 Å³/f.u.
E_form (uncorrected)   -1214 meV/atom
Symmetry   No. 139



Here is an optimized crystal structure of CaPt2Cl2 from Alexandria via LeMat-Bulk. Energies are from PBE.

```
CaPt2Cl2
1.0
-1.245 -6.426 0.751
0.037 -3.149 5.787
-2.383 5.407 -2.912
Ca Pt Cl
1 2 2
direct
0.000 0.000 0.000 Ca
0.604 0.604 0.000 Pt
0.396 0.396 0.000 Pt
0.250 0.750 0.500 Cl
0.750 0.250 0.500 Cl
```

Volume   110.0 Å³/f.u.
E_form (uncorrected)   -268 meV/atom
Symmetry   No. 139



Here is an optimized crystal structure of CaPtCl2 from Alexandria via LeMat-Bulk. Energies are from PBE.

```
CaPtCl2
1.0
-0.149 3.478 -1.098
0.271 -1.086 -3.475
-7.357 -0.451 -0.433
Ca Pt Cl
1 1 2
direct
0.500 0.500 0.743 Ca
0.000 0.000 0.443 Pt
0.000 0.000 0.918 Cl
0.500 0.500 0.396 Cl
```

Volume   98.4 Å³/f.u.
E_form (uncorrected)   -899 meV/atom
Symmetry   No. 99
Polymorph energy (0 for the lowest one)   163 meV per atom